SbMo2Br: optimized geometry, PBE.

- D(E_F) (states/eV/f.u.) = 2.805
- space group = P4/mmm
- ΔE_f (raw) (eV per atom) = 0.566
- ΔE to the lowest computed polymorph (meV/atom) = 368

abc: 3.5163 3.5163 6.9745
angles: 90.00 90.00 90.00
With the nearest neighbours (Å) after each atom.
Fractional coordinates of all 4 atoms:
Sb  0.0000  0.0000  0.0000  8 Mo 2.77
Mo  0.5000  0.5000  0.1745  1 Mo 2.43
Mo  0.5000  0.5000  0.8255  1 Mo 2.43
Br  0.0000  0.0000  0.5000  8 Mo 3.37, 2 Sb 3.49, 4 Br 3.52

Tl3Tc: optimized geometry, PBE.

- D(E_F) (states/eV/f.u.) = 3.408
- space group = Imm2
- calculated formation energy (meV/atom) = 599
- ΔE to the lowest computed polymorph (meV/atom) = 201

abc: 5.7757 5.7757 5.7757
angles: 147.08 82.22 107.22
With the nearest neighbours (Å) after each atom.
Fractional coordinates of all 4 atoms:
Tl  0.0000  0.0000  0.0000  2 Tc 2.85, 2 Tl 3.17
Tl  0.4157  0.6053  0.8103  3 Tc 2.95-3.15, 5 Tl 3.17-3.27
Tl  0.7950  0.6053  0.1897  3 Tc 2.95-3.15, 5 Tl 3.17-3.27
Tc  0.3409  0.8409  0.5000  8 Tl 2.85-3.15

Sr3Ce2YAs6: optimized geometry, PBE.

- D(E_F) (states/eV/f.u.) = 12.645
- space group = C2/m
- calculated formation energy (meV/atom) = -1262

abc: 7.4683 7.4683 7.5504
angles: 99.49 99.49 120.03
With the nearest neighbours (Å) after each atom.
Fractional coordinates of all 12 atoms:
Sr  0.0000  0.0000  0.0000  6 As 3.17-3.19
Sr  0.3341  0.6659  0.0000  6 As 3.18-3.19
Sr  0.6659  0.3341  0.0000  6 As 3.18-3.19
Ce  0.1666  0.8334  0.5000  6 As 2.94
Ce  0.8334  0.1666  0.5000  6 As 2.94
Y  0.5000  0.5000  0.5000  6 As 2.96
As  0.0911  0.4263  0.2789  2 Ce 2.94, 1 Y 2.96, 3 Sr 3.18-3.19
As  0.2386  0.2386  0.7212  2 Ce 2.94, 1 Y 2.96, 3 Sr 3.17-3.18
As  0.4263  0.0911  0.2789  2 Ce 2.94, 1 Y 2.96, 3 Sr 3.18-3.19
As  0.5737  0.9089  0.7211  2 Ce 2.94, 1 Y 2.96, 3 Sr 3.18-3.19
As  0.7614  0.7614  0.2788  2 Ce 2.94, 1 Y 2.96, 3 Sr 3.17-3.18
As  0.9089  0.5737  0.7211  2 Ce 2.94, 1 Y 2.96, 3 Sr 3.18-3.19

HgAuN2: optimized geometry, PBE.

- D(E_F) (states/eV/f.u.) = 3.627
- space group = R-3m
- ΔE_f (raw) (eV per atom) = 1.477

abc: 6.4157 6.4157 6.4157
angles: 31.50 31.50 31.50
With the nearest neighbours (Å) after each atom.
Fractional coordinates of all 4 atoms:
Hg  0.0000  0.0000  0.0000  6 N 2.28
Au  0.5000  0.5000  0.5000  2 N 1.98
N  0.3918  0.3918  0.3918  1 Au 1.98
N  0.6082  0.6082  0.6082  1 Au 1.98